# 1
# BaLaCu2Rh

A relaxed BaLaCu2Rh crystal (PBE, the Alexandria database).

Cell and atoms, written as CIF:
```
data_BaLaCu2Rh
_chemical_formula_sum 'Ba1 La1 Cu2 Rh1'
_symmetry_space_group_name_H-M 'P 4/m m m'
_symmetry_Int_Tables_number 123
_symmetry_space_group_name_Hall '-P 4 2'
_cell_length_a 5.505
_cell_length_b 5.505
_cell_length_c 5.039
_cell_angle_alpha 90.00
_cell_angle_beta 90.00
_cell_angle_gamma 90.00
loop_
_atom_site_label
_atom_site_fract_x
_atom_site_fract_y
_atom_site_fract_z
_atom_site_occupancy
Ba1 0.000 0.000 0.000 1
La1 0.500 0.500 0.500 1
Cu1 0.000 0.500 0.500 1
Rh1 0.500 0.500 0.000 1
```

---

# 2
# Cs3KAu

A relaxed Cs3KAu crystal (PBE, the Alexandria database).

Cell and atoms, written as CIF:
```
data_Cs3KAu
_chemical_formula_sum 'Cs6 K2 Au2'
_symmetry_space_group_name_H-M 'P 63/m m c'
_symmetry_Int_Tables_number 194
_symmetry_space_group_name_Hall '-P 6c 2c'
_cell_length_a 6.0452
_cell_length_b 6.0452
_cell_length_c 28.0708
_cell_angle_alpha 90.00
_cell_angle_beta 90.00
_cell_angle_gamma 120.00
loop_
_atom_site_label
_atom_site_fract_x
_atom_site_fract_y
_atom_site_fract_z
_atom_site_occupancy
Cs1 0.0000 0.0000 0.2500 1
Cs2 0.3333 0.6667 0.1181 1
K1 0.0000 0.0000 0.0000 1
Au1 0.3333 0.6667 0.2500 1
```

---

# 3
# ScTi3Ga4

A relaxed ScTi3Ga4 crystal (PBE, the Alexandria database).

Cell and atoms, written as CIF:
```
data_ScTi3Ga4
_chemical_formula_sum 'Sc2 Ti6 Ga8'
_symmetry_space_group_name_H-M 'P m m a'
_symmetry_Int_Tables_number 51
_cell_length_a 9.279
_cell_length_b 5.856
_cell_length_c 4.858
_cell_angle_alpha 90.00
_cell_angle_beta 90.00
_cell_angle_gamma 90.00
loop_
_symmetry_equiv_pos_as_xyz
'x,y,z'
'-x,-y,-z'
'-x+1/2,-y,z'
'x+1/2,y,-z'
'x+1/2,-y,-z'
'-x+1/2,y,z'
'-x,y,-z'
'x,-y,z'
loop_
_atom_site_label
_atom_site_fract_x
_atom_site_fract_y
_atom_site_fract_z
_atom_site_occupancy
Sc1 0.000 0.000 0.000 1
Ti1 0.000 0.500 0.000 1
Ti2 0.250 0.000 0.357 1
Ti3 0.250 0.500 0.338 1
Ga1 0.000 0.259 0.500 1
Ga2 0.250 0.259 0.846 1
```

---

no.,DFT formation energy (eV/atom),total energy (eV/atom)
1,0.323,-4.1563
2,-0.067,-1.4545
3,-0.435,-5.7008